(1)
Computed, not measured: a relaxed structure of SbRuPb2 at the PBE level of DFT.

Values from the calculation:
**SG**: I-4m2
**Theoretical density**: 11.2 g cm⁻³
**Formation energy without anion corrections**: 506 meV/atom

a = 5.107 Å, b = 5.107 Å, c = 5.107 Å
α = 119.88°, β = 119.88°, γ = 90.21°
Fractional coordinates of all 4 atoms:
Pb 0.250 0.750 0.500
Pb 0.000 0.000 0.000
Ru 0.500 0.500 0.000
Sb 0.750 0.250 0.500

(2)
Computed, not measured: a relaxed structure of LiUSnOs at the PBE level of DFT.

Values from the calculation:
**SG**: F-43m
**Formation enthalpy at 0 K**: -0.019 eV/atom
**Theoretical density**: 12.4 g cm⁻³

a = 4.717 Å, b = 4.717 Å, c = 4.717 Å
α = 60.00°, β = 60.00°, γ = 60.00°
Site moments in Bohr magnetons follow the coordinates.
Fractional coordinates of all 4 atoms:
U 0.750 0.750 0.750  1.58
Li 0.500 0.500 0.500  0.02
Os 0.000 0.000 0.000  -0.21
Sn 0.250 0.250 0.250  -0.02

(3)
Computed, not measured: a relaxed structure of FeCu2W at the PBE level of DFT.

Values from the calculation:
**SG**: I-4m2
**Formation enthalpy at 0 K**: 0.292 eV/atom
**Theoretical density**: 12.2 g cm⁻³
**Distance to the lowest polymorph of the same formula**: 0.34 eV/f.u.

a = 4.483 Å, b = 4.483 Å, c = 4.483 Å
α = 131.16°, β = 131.16°, γ = 71.55°
Fractional coordinates of all 4 atoms:
Cu 0.000 0.000 0.000
Cu 0.750 0.250 0.500
Fe 0.500 0.500 0.000
W 0.250 0.750 0.500

(4)
Computed, not measured: a relaxed structure of NaCd8Hg2 at the PBE level of DFT.

Values from the calculation:
**SG**: C2/m
**Formation enthalpy at 0 K**: 0.008 eV/atom
**Theoretical density**: 8.1 g cm⁻³
**Distance to the lowest polymorph of the same formula**: 0.04 eV/f.u.

a = 5.416 Å, b = 8.326 Å, c = 9.223 Å
α = 63.17°, β = 72.17°, γ = 47.27°
Fractional coordinates of all 11 atoms:
Hg 0.000 0.321 0.358
Hg 0.000 0.679 0.642
Cd 0.500 0.800 0.400
Cd 0.262 0.487 0.000
Cd 0.222 0.629 0.273
Cd 0.778 0.098 0.273
Cd 0.500 0.200 0.600
Cd 0.222 0.902 0.727
Cd 0.738 0.513 0.000
Cd 0.778 0.371 0.727
Na 0.500 0.000 0.000

(5)
Computed, not measured: a relaxed structure of Cs2SnBi2 at the PBE level of DFT.

Values from the calculation:
**SG**: C2/m
**Formation enthalpy at 0 K**: -0.301 eV/atom
**Theoretical density**: 5.9 g cm⁻³
**Distance to the lowest polymorph of the same formula**: 0.00 eV/f.u.

a = 6.184 Å, b = 7.402 Å, c = 11.270 Å
α = 82.35°, β = 74.08°, γ = 65.31°
Fractional coordinates of all 10 atoms:
Sn 0.781 0.078 0.361
Sn 0.219 0.922 0.639
Cs 0.487 0.342 0.684
Cs 0.321 0.256 0.103
Cs 0.513 0.658 0.316
Cs 0.679 0.744 0.897
Bi 0.137 0.273 0.452
Bi 0.014 0.857 0.115
Bi 0.986 0.143 0.885
Bi 0.863 0.727 0.548

(6)
Computed, not measured: a relaxed structure of AlFeW2 at the PBE level of DFT.

Values from the calculation:
**SG**: Pmmm
**Formation enthalpy at 0 K**: 0.047 eV/atom
**Theoretical density**: 12.9 g cm⁻³

a = 3.197 Å, b = 4.236 Å, c = 4.284 Å
α = 90.00°, β = 90.00°, γ = 90.00°
Site moments in Bohr magnetons follow the coordinates.
Fractional coordinates of all 4 atoms:
W 0.000 0.000 0.000  0.06
W 0.500 0.500 0.000  -0.10
Fe 0.000 0.500 0.500  1.43
Al 0.500 0.000 0.500  -0.01

(7)
Computed, not measured: a relaxed structure of LaBeSe2 at the PBE level of DFT.

Values from the calculation:
**SG**: R3m
**Theoretical density**: 4.9 g cm⁻³
**Formation energy without anion corrections**: -912 meV/atom

a = 7.797 Å, b = 7.797 Å, c = 7.797 Å
α = 29.68°, β = 29.68°, γ = 29.68°
Site moments in Bohr magnetons follow the coordinates.
Fractional coordinates of all 4 atoms:
Se 0.203 0.203 0.203  0.03
Se 0.014 0.014 0.014  0.03
La 0.757 0.757 0.757  0.17
Be 0.525 0.525 0.525  0.10

(8)
Computed, not measured: a relaxed structure of CaCu2Ni at the PBE level of DFT.

Values from the calculation:
**SG**: P2/m
**Formation enthalpy at 0 K**: 0.140 eV/atom
**Theoretical density**: 5.9 g cm⁻³
**Distance to the lowest polymorph of the same formula**: 1.11 eV/f.u.

a = 4.187 Å, b = 2.939 Å, c = 5.358 Å
α = 75.15°, β = 90.00°, γ = 90.00°
Fractional coordinates of all 4 atoms:
Ni 0.500 0.250 0.250
Ca 0.500 0.750 0.750
Cu 0.000 0.068 0.052
Cu 0.000 0.432 0.448

no.,final energy (eV/atom),total moment (μB per formula unit)
1,-4.70,0.0
2,-7.13,1.4
3,-7.11,0.0
4,-0.83,0.0
5,-3.00,0.0
6,-9.48,1.3
7,-4.82,0.8
8,-3.85,0.0